# 1
Ti4GaGe2 | PBE-GGA | relaxed

a b c (Å): 2.955 6.778 6.981
angles (deg): 119.09 102.22 90.00
Positions (direct):
Ti  0.919  0.286  0.838
Ti  0.081  0.714  0.162
Ti  0.632  0.386  0.264
Ti  0.368  0.614  0.736
Ga  0.000  0.000  0.000
Ge  0.773  0.822  0.545
Ge  0.227  0.178  0.455

Calculated values
Total magnetization   0.00 μB/atom
Total energy   -6.5045 eV/atom
Symmetry   C2/m
Calculated formation energy   -163 kJ/mol of formula units


# 2
Sc2Ga3Ni2 | PBE-GGA | relaxed

a b c (Å): 4.003 5.140 6.437
angles (deg): 111.97 90.00 112.92
Positions (direct):
Sc  0.851  0.702  0.217
Sc  0.149  0.298  0.783
Ga  0.500  0.000  0.000
Ga  0.626  0.252  0.449
Ga  0.374  0.748  0.551
Ni  0.865  0.731  0.794
Ni  0.135  0.269  0.206

Calculated values
Total magnetization   0.00 μB/atom
Total energy   -5.3611 eV/atom
Symmetry   C2/m
Calculated formation energy   -407 kJ/mol of formula units


# 3
ReSi3P | PBE-GGA | relaxed

a b c (Å): 4.696 4.696 4.696
angles (deg): 90.00 90.00 90.00
Positions (direct):
Re  0.000  0.000  0.000
Si  0.000  0.500  0.000
Si  0.000  0.000  0.500
Si  0.500  0.000  0.000
P  0.500  0.500  0.500

Calculated values
Total magnetization   0.36 μB/atom
Total energy   -6.0424 eV/atom
Symmetry   Pm-3m
Energy relative to the elements, uncorrected   3.92 eV per formula unit
E above lowest polymorph   0 meV per atom


# 4
ScSi2IrRu | PBE-GGA | relaxed

a b c (Å): 4.084 4.084 5.568
angles (deg): 111.52 111.52 90.00
Positions (direct):
Sc  0.000  0.000  0.000
Si  0.624  0.624  0.248
Si  0.376  0.376  0.752
Ir  0.750  0.250  0.500
Ru  0.250  0.750  0.500

Calculated values
Total magnetization   0.00 μB/atom
Total energy   -7.9855 eV/atom
Symmetry   I-4m2
Energy relative to the elements, uncorrected   -4.61 eV per formula unit


# 5
Er2RuRh | PBE-GGA | relaxed

a b c (Å): 3.384 3.384 6.744
angles (deg): 90.00 90.00 90.00
Positions (direct):
Ru  0.500  0.500  0.000
Rh  0.500  0.500  0.500
Er  0.000  0.000  0.755
Er  0.000  0.000  0.245

Calculated values
Total magnetization   0.00 μB/atom
Total energy   -7.1324 eV/atom
Symmetry   P4/mmm
Calculated formation energy   -268 kJ/mol of formula units


# 6
Th2Cd2Hg4Pb3 | PBE-GGA | relaxed

a b c (Å): 5.205 5.205 13.525
angles (deg): 90.00 90.00 120.00
Positions (direct):
Th  0.667  0.333  0.896
Th  0.333  0.667  0.104
Cd  0.667  0.333  0.426
Cd  0.333  0.667  0.574
Hg  0.667  0.333  0.181
Hg  0.333  0.667  0.819
Hg  0.667  0.333  0.642
Hg  0.333  0.667  0.358
Pb  0.000  0.000  0.729
Pb  0.000  0.000  0.000
Pb  0.000  0.000  0.271

Calculated values
Total magnetization   0.00 μB/atom
Total energy   -2.7129 eV/atom
Symmetry   P-3m1
Calculated formation energy   -81 kJ/mol of formula units


# 7
DyTmAg2 | PBE-GGA | relaxed

a b c (Å): 5.110 5.110 5.110
angles (deg): 60.00 60.00 60.00
Positions (direct):
Tm  0.000  0.000  0.000
Ag  0.750  0.750  0.750
Ag  0.250  0.250  0.250
Dy  0.500  0.500  0.500

Calculated values
Total magnetization   0.00 μB/atom
Total energy   -4.0209 eV/atom
Symmetry   Fm-3m
Calculated formation energy   -126 kJ/mol of formula units


# 8
KNa2CdH | PBE-GGA | relaxed

a b c (Å): 5.039 5.039 5.366
angles (deg): 90.00 90.00 90.00
Positions (direct):
Na  0.000  0.500  0.000
Na  0.500  0.000  0.000
K  0.000  0.000  0.500
H  0.000  0.000  0.000
Cd  0.500  0.500  0.500

Calculated values
Total magnetization   0.00 μB/atom
Total energy   -1.5930 eV/atom
Symmetry   P4/mmm


Among the records above, which one has the lowest total energy?
ScSi2IrRu